Entry from the Alexandria database: Co3TePt after structural relaxation (GGA-PBEsol).

a b c (Å): 4.474 4.474 4.474
angles (deg): 90.00 90.00 90.00
Atoms (fractional coordinates):
Co 0.000 0.000 0.500
Co 0.000 0.500 0.000
Co 0.500 0.000 0.000
Te 0.000 0.000 0.000
Pt 0.500 0.500 0.500

Computed properties:
Total moment = 0.83 μB/atom
Formation energy (no corrections) = 7.06 eV/f.u.